Record 1
# SCAN InHOs3, single point on PBEsol structure
# Calculated density (g/cm3): 10.0
# Total DFT energy (no corrections) (eV per atom): -46.75
data_InHOs3
_chemical_formula_sum 'In1 H1 Os3'
_cell_length_a 4.848
_cell_length_b 4.848
_cell_length_c 4.848
_cell_angle_alpha 90.00
_cell_angle_beta 90.00
_cell_angle_gamma 90.00
_space_group_name_H-M_alt 'P m -3 m'
_space_group_IT_number 221
_space_group_name_Hall '-P 4 2 3'
loop_
_atom_site_label
_atom_site_fract_x
_atom_site_fract_y
_atom_site_fract_z
In1 0.000 0.000 0.000
H1 0.500 0.500 0.500
Os1 0.000 0.000 0.500



Record 2
# SCAN ZrSc3Cl, single point on PBEsol structure
# Calculated density (g/cm3): 3.1
# Raw formation energy (eV/atom): 0.681
# Total DFT energy (no corrections) (eV per atom): -15.60
data_ZrSc3Cl
_chemical_formula_sum 'Zr1 Sc3 Cl1'
_cell_length_a 5.212
_cell_length_b 5.212
_cell_length_c 5.212
_cell_angle_alpha 90.00
_cell_angle_beta 90.00
_cell_angle_gamma 90.00
_space_group_name_H-M_alt 'P m -3 m'
_space_group_IT_number 221
_space_group_name_Hall '-P 4 2 3'
loop_
_atom_site_label
_atom_site_fract_x
_atom_site_fract_y
_atom_site_fract_z
Zr1 0.000 0.000 0.000
Sc1 0.000 0.000 0.500
Cl1 0.500 0.500 0.500



Record 3
# SCAN Mg2PbW, single point on PBEsol structure
# Calculated density (g/cm3): 9.4
# ΔE_f (meV/atom): 564
# Total DFT energy (no corrections) (eV per atom): -38.29
data_Mg2PbW
_chemical_formula_sum 'Mg4 Pb2 W2'
_cell_length_a 4.053
_cell_length_b 4.053
_cell_length_c 9.427
_cell_angle_alpha 90.00
_cell_angle_beta 90.00
_cell_angle_gamma 90.00
_space_group_name_H-M_alt 'I 4/m m m'
_space_group_IT_number 139
_space_group_name_Hall '-I 4 2'
loop_
_atom_site_label
_atom_site_fract_x
_atom_site_fract_y
_atom_site_fract_z
Mg1 0.000 0.500 0.250
Pb1 0.000 0.000 0.000
W1 0.000 0.000 0.500



Record 4
# SCAN CrHg2Br, single point on PBEsol structure
# Calculated density (g/cm3): 9.8
# Raw formation energy (eV/atom): 0.096
# Offset from the most stable computed form (eV per formula unit): 1.09
# Total DFT energy (no corrections) (eV per atom): -43.45
data_CrHg2Br
_chemical_formula_sum 'Cr2 Hg4 Br2'
_cell_length_a 4.661
_cell_length_b 4.661
_cell_length_c 8.296
_cell_angle_alpha 90.00
_cell_angle_beta 90.00
_cell_angle_gamma 90.00
_space_group_name_H-M_alt 'I -4 m 2'
_space_group_IT_number 119
_space_group_name_Hall 'I -4 -2'
loop_
_atom_site_label
_atom_site_fract_x
_atom_site_fract_y
_atom_site_fract_z
Cr1 0.000 0.000 0.000
Hg1 0.000 0.000 0.500
Hg2 0.000 0.500 0.250
Br1 0.000 0.500 0.750



Record 5
# SCAN PrCo2P2, single point on PBEsol structure
# Calculated density (g/cm3): 7.4
# ΔE_f (meV/atom): -969
# Total DFT energy (no corrections) (eV per atom): -20.72
data_PrCo2P2
_chemical_formula_sum 'Pr2 Co4 P4'
_cell_length_a 3.855
_cell_length_b 3.855
_cell_length_c 9.725
_cell_angle_alpha 90.00
_cell_angle_beta 90.00
_cell_angle_gamma 90.00
_space_group_name_H-M_alt 'I 4/m m m'
_space_group_IT_number 139
_space_group_name_Hall '-I 4 2'
loop_
_atom_site_label
_atom_site_fract_x
_atom_site_fract_y
_atom_site_fract_z
Pr1 0.000 0.000 0.000
Co1 0.000 0.500 0.250
P1 0.000 0.000 0.365



Record 6
# SCAN V3Ga2, single point on PBEsol structure
# Calculated density (g/cm3): 7.2
# ΔE_f (meV/atom): -222
# Total DFT energy (no corrections) (eV per atom): -17.25
data_V3Ga2
_chemical_formula_sum 'V12 Ga8'
_cell_length_a 6.450
_cell_length_b 6.450
_cell_length_c 6.450
_cell_angle_alpha 90.00
_cell_angle_beta 90.00
_cell_angle_gamma 90.00
_space_group_name_H-M_alt 'P 41 3 2'
_space_group_IT_number 213
_space_group_name_Hall 'P 4bd 2ab 3'
loop_
_atom_site_label
_atom_site_fract_x
_atom_site_fract_y
_atom_site_fract_z
V1 0.041 0.125 0.791
Ga1 0.064 0.936 0.436



Record 7
# SCAN U2Te5, single point on PBEsol structure
# Calculated density (g/cm3): 9.1
# Raw formation energy (eV/atom): -0.524
# Total DFT energy (no corrections) (eV per atom): -56.71
data_U2Te5
_chemical_formula_sum 'U8 Te20'
_cell_length_a 33.465
_cell_length_b 4.059
_cell_length_c 6.017
_cell_angle_alpha 90.00
_cell_angle_beta 95.28
_cell_angle_gamma 90.00
_space_group_name_H-M_alt 'C 1 2/m 1'
_space_group_IT_number 12
_space_group_name_Hall '-C 2y'
loop_
_atom_site_label
_atom_site_fract_x
_atom_site_fract_y
_atom_site_fract_z
U1 0.055 0.000 0.028
U2 0.150 0.500 0.578
Te1 0.000 0.500 0.251
Te2 0.081 0.000 0.542
Te3 0.122 0.500 0.063
Te4 0.201 0.000 0.354
Te5 0.202 0.000 0.852



Record 8
# SCAN SiTe, single point on PBEsol structure
# Calculated density (g/cm3): 4.9
# Raw formation energy (eV/atom): 0.786
# Total DFT energy (no corrections) (eV per atom): -22.85
data_SiTe
_chemical_formula_sum 'Si3 Te3'
_cell_length_a 7.0921
_cell_length_b 7.0921
_cell_length_c 3.6627
_cell_angle_alpha 90.00
_cell_angle_beta 90.00
_cell_angle_gamma 120.00
_space_group_name_H-M_alt 'P 6/m m m'
_space_group_IT_number 191
_space_group_name_Hall '-P 6 2'
loop_
_atom_site_label
_atom_site_fract_x
_atom_site_fract_y
_atom_site_fract_z
Si1 0.0000 0.0000 0.0000
Si2 0.3333 0.6667 0.5000
Te1 0.0000 0.5000 0.0000



Record 9
# SCAN BeF2, single point on PBEsol structure
# Calculated density (g/cm3): 1.6
# Raw formation energy (eV/atom): -3.446
# Offset from the most stable computed form (eV per formula unit): 0.05
# Total DFT energy (no corrections) (eV per atom): -7.26
data_BeF2
_chemical_formula_sum 'Be12 F24'
_cell_length_a 8.323
_cell_length_b 8.323
_cell_length_c 8.323
_cell_angle_alpha 90.00
_cell_angle_beta 90.00
_cell_angle_gamma 90.00
_space_group_name_H-M_alt 'I -4 3 m'
_space_group_IT_number 217
_space_group_name_Hall 'I -4 2 3'
loop_
_atom_site_label
_atom_site_fract_x
_atom_site_fract_y
_atom_site_fract_z
Be1 0.000 0.250 0.500
F1 0.054 0.357 0.357



Record 10
# SCAN CoBIrPd2, single point on PBEsol structure
# Calculated density (g/cm3): 11.9
# ΔE_f (meV/atom): 101
# Total DFT energy (no corrections) (eV per atom): -32.18
data_CoBIrPd2
_chemical_formula_sum 'Co1 B1 Ir1 Pd2'
_cell_length_a 4.050
_cell_length_b 4.050
_cell_length_c 4.045
_cell_angle_alpha 90.00
_cell_angle_beta 90.00
_cell_angle_gamma 90.00
_space_group_name_H-M_alt 'P 4/m m m'
_space_group_IT_number 123
_space_group_name_Hall '-P 4 2'
loop_
_atom_site_label
_atom_site_fract_x
_atom_site_fract_y
_atom_site_fract_z
Co1 0.000 0.000 0.000
B1 0.500 0.500 0.500
Ir1 0.500 0.500 0.000
Pd1 0.000 0.500 0.500



Record 11
# SCAN PrAlGe2O7, single point on PBEsol structure
# Calculated density (g/cm3): 5.3
# Raw formation energy (eV/atom): -2.659
# Total DFT energy (no corrections) (eV per atom): -14.74
data_PrAlGe2O7
_chemical_formula_sum 'Pr4 Al4 Ge8 O28'
_cell_length_a 7.238
_cell_length_b 6.550
_cell_length_c 12.770
_cell_angle_alpha 90.00
_cell_angle_beta 117.50
_cell_angle_gamma 90.00
_space_group_name_H-M_alt 'P 1 21/c 1'
_space_group_IT_number 14
_space_group_name_Hall '-P 2ybc'
loop_
_atom_site_label
_atom_site_fract_x
_atom_site_fract_y
_atom_site_fract_z
Pr1 0.236 0.148 0.475
Al1 0.213 0.102 0.730
Ge1 0.209 0.658 0.451
Ge2 0.301 0.590 0.720
O1 0.003 0.661 0.916
O2 0.159 0.681 0.187
O3 0.202 0.052 0.865
O4 0.222 0.117 0.277
O5 0.247 0.502 0.574
O6 0.406 0.675 0.974
O7 0.429 0.122 0.698



Record 12
# SCAN LiPb3N, single point on PBEsol structure
# Calculated density (g/cm3): 9.0
# Raw formation energy (eV/atom): 1.023
# Total DFT energy (no corrections) (eV per atom): -46.78
data_LiPb3N
_chemical_formula_sum 'Li1 Pb3 N1'
_cell_length_a 4.915
_cell_length_b 4.915
_cell_length_c 4.915
_cell_angle_alpha 90.00
_cell_angle_beta 90.00
_cell_angle_gamma 90.00
_space_group_name_H-M_alt 'P m -3 m'
_space_group_IT_number 221
_space_group_name_Hall '-P 4 2 3'
loop_
_atom_site_label
_atom_site_fract_x
_atom_site_fract_y
_atom_site_fract_z
Li1 0.000 0.000 0.000
Pb1 0.000 0.000 0.500
N1 0.500 0.500 0.500